1.
A geometry-optimized TaCrCl structure, computed with PBE. Values from VASP.

Output
Magnetization = 1.05 μB per atom
Final energy = -7.4889 eV per atom
Uncorrected formation energy = 0.29 eV per atom

Geometry as Quantum ESPRESSO input:
```
&SYSTEM
  ibrav = 0, nat = 3, ntyp = 3
/
ATOMIC_SPECIES
Cl 35.45 Cl.upf
Cr 52.00 Cr.upf
Ta 180.95 Ta.upf
ATOMIC_POSITIONS crystal
Cl 0.029 0.029 0.000
Cr 0.304 0.304 0.000
Ta 0.667 0.667 0.000
CELL_PARAMETERS angstrom
6.758 0.065 0.000
5.415 4.044 0.000
-6.086 -2.055 2.100
```


2.
A geometry-optimized TbPdRh structure, computed with PBE. Values from VASP.

Output
Magnetization = 0.00 μB per atom
Final energy = -6.1397 eV per atom
Formation enthalpy at 0 K = -0.41 eV per atom

Geometry as Quantum ESPRESSO input:
```
&SYSTEM
  ibrav = 0, nat = 6, ntyp = 3
/
ATOMIC_SPECIES
Rh 102.91 Rh.upf
Pd 106.42 Pd.upf
Tb 158.93 Tb.upf
ATOMIC_POSITIONS crystal
Rh 0.779 0.779 0.559
Rh 0.221 0.221 0.441
Pd 0.934 0.934 0.867
Pd 0.066 0.066 0.133
Tb 0.366 0.366 0.732
Tb 0.634 0.634 0.268
CELL_PARAMETERS angstrom
3.569 0.000 0.000
0.000 3.569 0.000
-1.785 -1.785 9.730
```


3.
A geometry-optimized SnPd2Au3 structure, computed with PBE. Values from VASP.

Output
Magnetization = 0.00 μB per atom
Final energy = -4.2444 eV per atom
Formation enthalpy at 0 K = -0.21 eV per atom

Geometry as Quantum ESPRESSO input:
```
&SYSTEM
  ibrav = 0, nat = 12, ntyp = 3
/
ATOMIC_SPECIES
Au 196.97 Au.upf
Sn 118.71 Sn.upf
Pd 106.42 Pd.upf
ATOMIC_POSITIONS crystal
Au 0.375 0.625 0.750
Au 0.625 0.375 0.250
Au 0.538 0.790 0.080
Au 0.462 0.210 0.920
Au 0.210 0.462 0.420
Au 0.790 0.538 0.580
Sn 0.124 0.876 0.250
Sn 0.876 0.124 0.750
Pd 0.708 0.957 0.414
Pd 0.292 0.043 0.586
Pd 0.043 0.292 0.086
Pd 0.957 0.708 0.914
CELL_PARAMETERS angstrom
4.917 -0.302 -0.983
-1.482 4.698 -0.983
0.133 0.170 9.265
```


4.
A geometry-optimized AsRuPbSe2 structure, computed with PBE. Values from VASP.

Output
Magnetization = 0.68 μB per atom
Final energy = -3.4256 eV per atom
Uncorrected formation energy = 1.49 eV per atom

Geometry as Quantum ESPRESSO input:
```
&SYSTEM
  ibrav = 0, nat = 5, ntyp = 4
/
ATOMIC_SPECIES
Se 78.96 Se.upf
Pb 207.20 Pb.upf
Ru 101.07 Ru.upf
As 74.92 As.upf
ATOMIC_POSITIONS crystal
Se 0.500 0.000 0.000
Se 0.000 0.500 0.000
Pb 0.000 0.000 0.000
Ru 0.500 0.500 0.500
As 0.000 0.000 0.500
CELL_PARAMETERS angstrom
5.401 0.000 0.000
0.000 5.401 0.000
0.000 0.000 5.323
```


5.
A geometry-optimized Pm6Sb2Te3P structure, computed with PBE. Values from VASP.

Output
Magnetization = 0.00 μB per atom
Final energy = -5.7115 eV per atom
Uncorrected formation energy = -1.41 eV per atom

Geometry as Quantum ESPRESSO input:
```
&SYSTEM
  ibrav = 0, nat = 12, ntyp = 4
/
ATOMIC_SPECIES
Pm 145.00 Pm.upf
Te 127.60 Te.upf
Sb 121.76 Sb.upf
P 30.97 P.upf
ATOMIC_POSITIONS crystal
Pm 0.333 0.422 0.666
Pm 0.349 0.920 0.697
Pm 0.000 0.781 0.000
Pm 0.651 0.080 0.303
Pm 0.000 0.219 0.000
Pm 0.667 0.578 0.334
Te 0.171 0.837 0.341
Te 0.829 0.163 0.659
Te 0.500 0.500 0.000
Sb 0.834 0.668 0.667
Sb 0.166 0.332 0.333
P 0.500 0.000 0.000
CELL_PARAMETERS angstrom
4.387 0.000 0.000
0.000 8.921 0.266
-2.194 -2.622 9.349
```


6.
A geometry-optimized Li2Si2Br structure, computed with PBE. Values from VASP.

Output
Magnetization = 0.00 μB per atom
Final energy = -3.3636 eV per atom
Uncorrected formation energy = -0.09 eV per atom

Geometry as Quantum ESPRESSO input:
```
&SYSTEM
  ibrav = 0, nat = 10, ntyp = 3
/
ATOMIC_SPECIES
Li 6.94 Li.upf
Br 79.90 Br.upf
Si 28.09 Si.upf
ATOMIC_POSITIONS crystal
Li 0.798 0.702 0.000
Li 0.202 0.298 0.000
Li 0.702 0.202 0.000
Li 0.298 0.798 0.000
Br 0.000 0.000 0.000
Br 0.500 0.500 0.000
Si 0.599 0.901 0.500
Si 0.901 0.401 0.500
Si 0.401 0.099 0.500
Si 0.099 0.599 0.500
CELL_PARAMETERS angstrom
8.069 0.000 0.000
0.000 8.069 0.000
0.000 0.000 2.937
```


7.
A geometry-optimized RbNaSnBr4 structure, computed with PBE. Values from VASP.

Output
Magnetization = 0.00 μB per atom
Final energy = -3.0790 eV per atom
Uncorrected formation energy = -1.22 eV per atom

Geometry as Quantum ESPRESSO input:
```
&SYSTEM
  ibrav = 0, nat = 14, ntyp = 4
/
ATOMIC_SPECIES
Rb 85.47 Rb.upf
Br 79.90 Br.upf
Sn 118.71 Sn.upf
Na 22.99 Na.upf
ATOMIC_POSITIONS crystal
Rb 0.183 0.250 0.022
Rb 0.817 0.750 0.978
Br 0.049 0.993 0.282
Br 0.451 0.250 0.374
Br 0.438 0.250 0.794
Br 0.049 0.507 0.282
Br 0.951 0.493 0.718
Br 0.951 0.007 0.718
Br 0.549 0.750 0.626
Br 0.562 0.750 0.206
Sn 0.812 0.750 0.495
Sn 0.188 0.250 0.505
Na 0.301 0.750 0.348
Na 0.699 0.250 0.652
CELL_PARAMETERS angstrom
8.369 0.000 0.434
0.000 8.338 0.000
-2.755 0.000 8.673
```


8.
A geometry-optimized Hf5InGa3 structure, computed with PBE. Values from VASP.

Output
Magnetization = 0.00 μB per atom
Final energy = -6.6842 eV per atom
Formation enthalpy at 0 K = 0.16 eV per atom

Geometry as Quantum ESPRESSO input:
```
&SYSTEM
  ibrav = 0, nat = 18, ntyp = 3
/
ATOMIC_SPECIES
Ga 69.72 Ga.upf
Hf 178.49 Hf.upf
In 114.82 In.upf
ATOMIC_POSITIONS crystal
Ga 0.294 0.294 0.538
Ga 0.739 0.739 0.873
Ga 0.261 0.261 0.127
Ga 0.000 0.000 0.000
Ga 0.706 0.706 0.462
Ga 0.000 0.000 0.500
Hf 0.600 0.003 0.651
Hf 0.274 0.274 0.864
Hf 0.003 0.600 0.651
Hf 0.400 0.997 0.349
Hf 0.673 0.327 0.000
Hf 0.997 0.400 0.349
Hf 0.472 0.472 0.303
Hf 0.528 0.528 0.697
Hf 0.726 0.726 0.136
Hf 0.327 0.673 0.000
In 0.964 0.964 0.258
In 0.036 0.036 0.742
CELL_PARAMETERS angstrom
-4.325 4.611 0.316
-1.684 -0.327 6.093
6.518 7.431 3.373
```


9.
A geometry-optimized Pr4OsI2N structure, computed with PBE. Values from VASP.

Output
Magnetization = 0.00 μB per atom
Final energy = -6.0205 eV per atom
Uncorrected formation energy = -0.80 eV per atom

Geometry as Quantum ESPRESSO input:
```
&SYSTEM
  ibrav = 0, nat = 8, ntyp = 4
/
ATOMIC_SPECIES
Pr 140.91 Pr.upf
N 14.01 N.upf
I 126.90 I.upf
Os 190.23 Os.upf
ATOMIC_POSITIONS crystal
Pr 0.000 0.759 0.178
Pr 0.000 0.241 0.822
Pr 0.500 0.214 0.173
Pr 0.500 0.786 0.827
N 0.000 0.000 0.000
I 0.000 0.500 0.500
I 0.500 0.000 0.500
Os 0.500 0.500 0.000
CELL_PARAMETERS angstrom
4.062 0.000 0.000
0.000 7.020 0.128
0.000 -2.474 7.990
```


10.
A geometry-optimized KLiSi structure, computed with PBE. Values from VASP.

Output
Magnetization = 0.00 μB per atom
Final energy = -2.8144 eV per atom
Uncorrected formation energy = 0.00 eV per atom

Geometry as Quantum ESPRESSO input:
```
&SYSTEM
  ibrav = 0, nat = 6, ntyp = 3
/
ATOMIC_SPECIES
Si 28.09 Si.upf
Li 6.94 Li.upf
K 39.10 K.upf
ATOMIC_POSITIONS crystal
Si 0.482 0.467 0.094
Si 0.981 0.682 0.035
Li 0.979 0.157 0.994
Li 0.988 0.522 0.297
K 0.472 0.616 0.725
K 0.490 0.021 0.324
CELL_PARAMETERS angstrom
3.870 0.000 0.000
-0.003 5.635 -0.002
-0.106 -1.413 8.894
```


11.
A geometry-optimized KLaNd2Se4 structure, computed with PBE. Values from VASP.

Output
Magnetization = 0.00 μB per atom
Final energy = -5.4960 eV per atom
Uncorrected formation energy = -1.81 eV per atom

Geometry as Quantum ESPRESSO input:
```
&SYSTEM
  ibrav = 0, nat = 8, ntyp = 4
/
ATOMIC_SPECIES
Nd 144.24 Nd.upf
Se 78.96 Se.upf
La 138.91 La.upf
K 39.10 K.upf
ATOMIC_POSITIONS crystal
Nd 0.500 0.000 0.500
Nd 0.000 0.000 0.000
Se 0.500 0.766 0.237
Se 0.000 0.242 0.248
Se 0.500 0.234 0.763
Se 0.000 0.758 0.752
La 0.500 0.500 0.000
K 0.000 0.500 0.500
CELL_PARAMETERS angstrom
-1.563 2.855 2.773
1.279 -4.833 5.696
6.888 1.188 2.659
```


12.
A geometry-optimized Ba2TlZnO5 structure, computed with PBE. Values from VASP.

Output
Magnetization = 0.12 μB per atom
Final energy = -5.1759 eV per atom
Uncorrected formation energy = -1.59 eV per atom

Geometry as Quantum ESPRESSO input:
```
&SYSTEM
  ibrav = 0, nat = 18, ntyp = 4
/
ATOMIC_SPECIES
O 16.00 O.upf
Tl 204.38 Tl.upf
Ba 137.33 Ba.upf
Zn 65.41 Zn.upf
ATOMIC_POSITIONS crystal
O 0.710 0.420 0.157
O 0.353 0.706 0.001
O 0.501 0.002 0.289
O 0.051 0.101 0.029
O 0.321 0.643 0.383
O 0.647 0.294 0.501
O 0.290 0.580 0.657
O 0.949 0.899 0.529
O 0.679 0.357 0.883
O 0.499 0.998 0.789
Tl 0.210 0.419 0.017
Tl 0.790 0.581 0.517
Ba 0.871 0.742 0.812
Ba 0.889 0.779 0.185
Ba 0.129 0.258 0.312
Ba 0.111 0.221 0.685
Zn 0.549 0.099 0.952
Zn 0.451 0.901 0.452
CELL_PARAMETERS angstrom
-2.838 -0.579 2.148
3.928 -6.876 0.309
5.713 3.648 8.533
```


13.
A geometry-optimized BPd structure, computed with PBE. Values from VASP.

Output
Magnetization = 0.00 μB per atom
Final energy = -5.6005 eV per atom
Formation enthalpy at 0 K = 0.33 eV per atom

Geometry as Quantum ESPRESSO input:
```
&SYSTEM
  ibrav = 0, nat = 12, ntyp = 2
/
ATOMIC_SPECIES
Pd 106.42 Pd.upf
B 10.81 B.upf
ATOMIC_POSITIONS crystal
Pd 0.048 0.381 0.250
Pd 0.952 0.619 0.750
Pd 0.333 0.952 0.250
Pd 0.619 0.667 0.250
Pd 0.667 0.048 0.750
Pd 0.381 0.333 0.750
B 0.287 0.929 0.750
B 0.643 0.713 0.750
B 0.357 0.287 0.250
B 0.071 0.357 0.750
B 0.713 0.071 0.250
B 0.929 0.643 0.250
CELL_PARAMETERS angstrom
6.432 0.000 0.000
-3.216 5.571 0.000
0.000 0.000 4.305
```


14.
A geometry-optimized PuHfPb2 structure, computed with PBE. Values from VASP.

Output
Magnetization = 1.49 μB per atom
Final energy = -7.6992 eV per atom
Formation enthalpy at 0 K = 0.23 eV per atom

Geometry as Quantum ESPRESSO input:
```
&SYSTEM
  ibrav = 0, nat = 4, ntyp = 3
/
ATOMIC_SPECIES
Pu 244.00 Pu.upf
Pb 207.20 Pb.upf
Hf 178.49 Hf.upf
ATOMIC_POSITIONS crystal
Pu 0.668 0.668 0.996
Pb 0.090 0.090 0.729
Pb 0.244 0.244 0.268
Hf 0.498 0.498 0.507
CELL_PARAMETERS angstrom
-2.023 3.878 1.321
-2.184 2.595 -3.061
-7.074 -1.208 0.614
```


15.
A geometry-optimized SmMgRu structure, computed with PBE. Values from VASP.

Output
Magnetization = 0.00 μB per atom
Final energy = -5.3895 eV per atom
Formation enthalpy at 0 K = -0.19 eV per atom

Geometry as Quantum ESPRESSO input:
```
&SYSTEM
  ibrav = 0, nat = 6, ntyp = 3
/
ATOMIC_SPECIES
Ru 101.07 Ru.upf
Mg 24.30 Mg.upf
Sm 150.36 Sm.upf
ATOMIC_POSITIONS crystal
Ru 0.140 0.876 0.844
Ru 0.860 0.124 0.156
Mg 0.194 0.196 0.416
Mg 0.806 0.804 0.584
Sm 0.581 0.676 0.163
Sm 0.419 0.324 0.837
CELL_PARAMETERS angstrom
-3.825 -0.813 -1.996
-2.227 -5.043 1.493
-4.834 1.241 3.931
```


16.
A geometry-optimized CuP2Ru structure, computed with PBE. Values from VASP.

Output
Magnetization = 0.00 μB per atom
Final energy = -5.7223 eV per atom
Formation enthalpy at 0 K = 0.33 eV per atom

Geometry as Quantum ESPRESSO input:
```
&SYSTEM
  ibrav = 0, nat = 4, ntyp = 3
/
ATOMIC_SPECIES
P 30.97 P.upf
Ru 101.07 Ru.upf
Cu 63.55 Cu.upf
ATOMIC_POSITIONS crystal
P 0.500 0.500 0.302
P 0.000 0.000 0.952
Ru 0.000 0.000 0.499
Cu 0.500 0.500 0.747
CELL_PARAMETERS angstrom
2.734 -0.025 0.000
-1.178 2.467 0.000
0.000 0.000 9.061
```


17.
A geometry-optimized ZrIr2Pd structure, computed with PBE. Values from VASP.

Output
Magnetization = 0.00 μB per atom
Final energy = -7.9624 eV per atom
Formation enthalpy at 0 K = -0.10 eV per atom

Geometry as Quantum ESPRESSO input:
```
&SYSTEM
  ibrav = 0, nat = 8, ntyp = 3
/
ATOMIC_SPECIES
Zr 91.22 Zr.upf
Pd 106.42 Pd.upf
Ir 192.22 Ir.upf
ATOMIC_POSITIONS crystal
Zr 0.250 0.750 0.500
Zr 0.500 0.500 0.000
Pd 0.750 0.250 0.500
Pd 0.000 0.000 0.000
Ir 0.375 0.340 0.750
Ir 0.875 0.910 0.750
Ir 0.090 0.625 0.250
Ir 0.660 0.125 0.250
CELL_PARAMETERS angstrom
-3.900 -0.159 0.403
0.143 -3.918 -0.163
-0.915 -2.386 9.320
```


18.
A geometry-optimized La12Pr5Tm2 structure, computed with PBE. Values from VASP.

Output
Magnetization = 0.00 μB per atom
Final energy = -4.6946 eV per atom
Formation enthalpy at 0 K = 0.15 eV per atom

Geometry as Quantum ESPRESSO input:
```
&SYSTEM
  ibrav = 0, nat = 19, ntyp = 3
/
ATOMIC_SPECIES
Pr 140.91 Pr.upf
La 138.91 La.upf
Tm 168.93 Tm.upf
ATOMIC_POSITIONS crystal
Pr 0.000 0.000 0.500
Pr 0.674 0.349 0.848
Pr 0.173 0.346 0.818
Pr 0.827 0.654 0.182
Pr 0.326 0.651 0.152
La 0.993 0.986 0.798
La 0.932 0.336 0.166
La 0.007 0.014 0.202
La 0.591 0.682 0.468
La 0.595 0.664 0.834
La 0.090 0.682 0.468
La 0.068 0.664 0.834
La 0.491 0.982 0.690
La 0.910 0.318 0.532
La 0.409 0.318 0.532
La 0.405 0.336 0.166
La 0.509 0.018 0.310
Tm 0.702 0.000 0.000
Tm 0.298 0.000 0.000
CELL_PARAMETERS angstrom
-3.971 0.029 -6.484
9.835 -5.585 -1.590
0.551 -10.294 -0.383
```


19.
A geometry-optimized MnFeNi5 structure, computed with PBE. Values from VASP.

Output
Magnetization = 1.30 μB per atom
Final energy = -6.6010 eV per atom
Formation enthalpy at 0 K = 0.05 eV per atom

Geometry as Quantum ESPRESSO input:
```
&SYSTEM
  ibrav = 0, nat = 14, ntyp = 3
/
ATOMIC_SPECIES
Ni 58.69 Ni.upf
Mn 54.94 Mn.upf
Fe 55.84 Fe.upf
ATOMIC_POSITIONS crystal
Ni 0.767 0.457 0.958
Ni 0.994 0.597 0.350
Ni 0.006 0.403 0.650
Ni 0.543 0.233 0.542
Ni 0.403 0.006 0.150
Ni 0.233 0.543 0.042
Ni 0.457 0.767 0.458
Ni 0.597 0.994 0.850
Ni 0.128 0.872 0.750
Ni 0.872 0.128 0.250
Mn 0.482 0.518 0.750
Mn 0.518 0.482 0.250
Fe 0.000 0.000 0.500
Fe 0.000 0.000 0.000
CELL_PARAMETERS angstrom
4.400 -1.029 0.340
0.420 4.500 0.340
1.820 1.310 8.335
```


20.
A geometry-optimized CoSe2Cl structure, computed with PBE. Values from VASP.

Output
Magnetization = 0.00 μB per atom
Final energy = -4.1701 eV per atom
Uncorrected formation energy = -0.19 eV per atom

Geometry as Quantum ESPRESSO input:
```
&SYSTEM
  ibrav = 0, nat = 4, ntyp = 3
/
ATOMIC_SPECIES
Se 78.96 Se.upf
Co 58.93 Co.upf
Cl 35.45 Cl.upf
ATOMIC_POSITIONS crystal
Se 0.500 0.193 0.990
Se 0.000 0.653 0.070
Co 0.500 0.770 0.834
Cl 0.000 0.884 0.606
CELL_PARAMETERS angstrom
3.448 0.000 0.000
0.000 4.383 0.182
0.000 1.895 6.727
```